DFT (GGA-PBEsol) results for a relaxed Cr2CuRu crystal.

It has space group P4/mmm (No. 123), with a = 2.581 Å, b = 2.581 Å, c = 7.199 Å, α = 90.00°, β = 90.00° and γ = 90.00°. Symmetry generates all atoms from Cr at (0.000, 0.000, 0.250), Cu at (0.500, 0.500, 0.000) and Ru at (0.500, 0.500, 0.500).

For the size of the total moment, the calculation gives 0.00 μB/atom. For the density of states at the Fermi level, the calculation gives 5.3 states/eV/f.u. For the formation energy, the calculation gives 0.2996 eV/atom.